Entry 1:
Here is LiZn3Cu after structural relaxation from the Alexandria database. Energies are from GGA-PBE.

Relative energy among the computed polymorphs   28.50 kJ/mol of atoms
Formation energy from the elements   0.152 eV per atom

abc: 4.620 4.620 4.620
angles: 90.00 90.00 90.00
Sites, in units of the cell vectors:
Zn: 0.500 0.000 0.000
Li: 0.500 0.500 0.500
Zn: 0.000 0.500 0.000
Cu: 0.000 0.000 0.000
Zn: 0.000 0.000 0.500


Entry 2:
Here is LiZn3Cu5 after structural relaxation from the Alexandria database. Energies are from GGA-PBE.

Formation energy from the elements   0.150 eV per atom

abc: 6.381 6.381 7.564
angles: 114.95 114.95 90.00
Sites, in units of the cell vectors:
Cu: 0.934 0.434 0.296
Cu: 0.138 0.066 0.704
Cu: 0.500 0.500 0.000
Cu: 0.638 0.138 0.704
Cu: 0.000 0.000 0.000
Zn: 0.375 0.875 0.000
Cu: 0.066 0.566 0.704
Cu: 0.862 0.934 0.296
Zn: 0.750 0.750 0.500
Zn: 0.125 0.375 0.000
Zn: 0.875 0.625 0.000
Zn: 0.625 0.125 0.000
Cu: 0.566 0.638 0.704
Cu: 0.434 0.362 0.296
Li: 0.250 0.750 0.500
Li: 0.750 0.250 0.500
Zn: 0.250 0.250 0.500
Cu: 0.362 0.862 0.296


Entry 3:
Here is LiZn2Cu6 after structural relaxation from the Alexandria database. Energies are from GGA-PBE.

Relative energy among the computed polymorphs   3.70 kJ/mol of atoms
Formation energy from the elements   -0.011 eV per atom

abc: 6.500 4.525 4.525
angles: 68.93 74.98 74.98
Sites, in units of the cell vectors:
Cu: 0.298 0.791 0.315
Cu: 0.702 0.209 0.685
Cu: 0.507 0.241 0.241
Li: 0.000 0.000 0.000
Zn: 0.916 0.673 0.673
Cu: 0.493 0.759 0.759
Cu: 0.298 0.315 0.791
Zn: 0.084 0.327 0.327
Cu: 0.702 0.685 0.209


Entry 4:
Here is LiZn3Cu after structural relaxation from the Alexandria database. Energies are from GGA-PBE.

Relative energy among the computed polymorphs   0.00 kJ/mol of atoms
Formation energy from the elements   -0.144 eV per atom

abc: 4.320 4.298 7.701
angles: 88.97 72.86 85.52
Sites, in units of the cell vectors:
Cu: 0.356 0.345 0.004
Li: 0.551 0.345 0.616
Zn: 0.757 0.345 0.200
Zn: 0.457 0.845 0.807
Zn: 0.954 0.344 0.807
Zn: 0.260 0.845 0.200
Cu: 0.056 0.844 0.610
Zn: 0.654 0.844 0.415
Zn: 0.151 0.344 0.414
Li: 0.860 0.844 0.999


Entry 5:
Here is Li2Zn3Cu3 after structural relaxation from the Alexandria database. Energies are from GGA-PBE.

Relative energy among the computed polymorphs   2.36 kJ/mol of atoms
Formation energy from the elements   -0.057 eV per atom

abc: 4.208 4.755 12.411
angles: 90.00 90.00 116.27
Sites, in units of the cell vectors:
Zn: 0.238 0.476 0.750
Cu: 0.469 0.937 0.250
Cu: 0.531 0.063 0.750
Zn: 0.090 0.181 0.921
Zn: 0.910 0.819 0.079
Zn: 0.762 0.524 0.250
Zn: 0.910 0.819 0.421
Zn: 0.090 0.181 0.579
Li: 0.770 0.539 0.623
Li: 0.770 0.539 0.877
Cu: 0.600 0.200 0.068
Cu: 0.400 0.800 0.568
Li: 0.230 0.461 0.377
Li: 0.230 0.461 0.123
Cu: 0.400 0.800 0.932
Cu: 0.600 0.200 0.432


Entry 6:
Here is LiZn7Cu2 after structural relaxation from the Alexandria database. Energies are from GGA-PBE.

Formation energy from the elements   -0.006 eV per atom

abc: 4.187 4.187 9.927
angles: 90.00 90.00 120.00
Sites, in units of the cell vectors:
Zn: 0.333 0.667 0.148
Zn: 0.667 0.333 0.986
Zn: 0.000 0.000 0.747
Cu: 0.333 0.667 0.647
Zn: 0.667 0.333 0.545
Cu: 0.667 0.333 0.254
Zn: 0.000 0.000 0.315
Zn: 0.333 0.667 0.405
Li: 0.000 0.000 0.049
Zn: 0.333 0.667 0.889


Entry 7:
Here is Li2ZnCu2 after structural relaxation from the Alexandria database. Energies are from GGA-PBE.

Relative energy among the computed polymorphs   0.00 kJ/mol of atoms
Formation energy from the elements   -0.108 eV per atom

abc: 4.983 4.983 7.194
angles: 75.33 75.33 49.69
Sites, in units of the cell vectors:
Cu: 0.653 0.152 0.448
Zn: 0.250 0.750 0.250
Li: 0.553 0.054 0.149
Cu: 0.152 0.653 0.948
Cu: 0.848 0.347 0.052
Zn: 0.750 0.250 0.750
Li: 0.054 0.553 0.649
Li: 0.447 0.946 0.851
Cu: 0.347 0.848 0.552
Li: 0.946 0.447 0.351


Entry 8:
Here is LiZnCu after structural relaxation from the Alexandria database. Energies are from GGA-PBE.

Relative energy among the computed polymorphs   2.10 kJ/mol of atoms
Formation energy from the elements   -0.122 eV per atom

abc: 4.238 4.238 2.528
angles: 90.00 90.00 120.00
Sites, in units of the cell vectors:
Li: 0.667 0.333 0.315
Cu: 0.000 0.000 0.028
Zn: 0.333 0.667 0.657


Entry 9:
Here is Li2ZnCu8 after structural relaxation from the Alexandria database. Energies are from GGA-PBE.

Relative energy among the computed polymorphs   0.00 kJ/mol of atoms
Formation energy from the elements   -0.043 eV per atom

abc: 3.694 5.713 6.872
angles: 103.61 105.59 90.00
Sites, in units of the cell vectors:
Zn: 0.500 0.000 0.000
Cu: 0.865 0.825 0.729
Cu: 0.683 0.907 0.366
Cu: 0.045 0.723 0.091
Li: 0.774 0.361 0.548
Cu: 0.317 0.093 0.634
Cu: 0.411 0.548 0.822
Cu: 0.135 0.175 0.271
Cu: 0.955 0.277 0.909
Li: 0.226 0.639 0.452
Cu: 0.589 0.452 0.178


Entry 10:
Here is Li2ZnCu5 after structural relaxation from the Alexandria database. Energies are from GGA-PBE.

Formation energy from the elements   -0.071 eV per atom

abc: 3.579 5.246 10.532
angles: 90.00 90.00 90.00
Sites, in units of the cell vectors:
Li: 0.500 0.243 0.128
Li: 0.500 0.257 0.628
Cu: 0.500 0.250 0.375
Cu: 0.000 0.502 0.750
Cu: 0.000 0.002 0.750
Cu: 0.500 0.750 0.625
Cu: 0.000 0.498 0.250
Cu: 0.000 0.000 0.000
Cu: 0.500 0.250 0.875
Cu: 0.000 0.998 0.250
Cu: 0.000 0.500 0.500
Li: 0.500 0.757 0.872
Zn: 0.000 0.500 0.000
Li: 0.500 0.743 0.372
Zn: 0.000 0.000 0.500
Cu: 0.500 0.750 0.125


Entry 11:
Here is LiZn6Cu after structural relaxation from the Alexandria database. Energies are from GGA-PBE.

Relative energy among the computed polymorphs   0.00 kJ/mol of atoms
Formation energy from the elements   -0.103 eV per atom

abc: 4.294 5.517 5.514
angles: 120.02 90.00 90.00
Sites, in units of the cell vectors:
Cu: 0.000 0.834 0.667
Zn: 0.000 0.334 0.667
Zn: 0.000 0.343 0.172
Zn: 0.500 0.156 0.829
Zn: 0.500 0.163 0.327
Zn: 0.500 0.674 0.829
Li: 0.500 0.668 0.337
Zn: 0.000 0.829 0.172


Entry 12:
Here is LiZn2Cu after structural relaxation from the Alexandria database. Energies are from GGA-PBE.

Formation energy from the elements   -0.138 eV per atom

abc: 2.702 3.748 5.383
angles: 90.00 90.00 90.00
Sites, in units of the cell vectors:
Li: 0.500 0.500 0.750
Zn: 0.000 0.000 0.007
Cu: 0.500 0.500 0.250
Zn: 0.000 0.000 0.493